Below is a geometry-optimized CaEu structure, with properties calculated at the PBE level.

Output
DFT formation energy = 0.02 eV/atom
SG = No. 129

The structure in CIF format:
```
data_CaEu
_chemical_formula_sum 'Ca2 Eu2'
_space_group_name_H-M_alt 'P 1'
_space_group_IT_number 1
_cell_length_a 3.9123
_cell_length_b 3.9125
_cell_length_c 11.0474
_cell_angle_alpha 89.99
_cell_angle_beta 90.00
_cell_angle_gamma 90.00
loop_
_space_group_symop_operation_xyz
'x,y,z'
loop_
_atom_site_label
_atom_site_fract_x
_atom_site_fract_y
_atom_site_fract_z
Eu1 0.2500 0.2500 0.1228
Eu2 0.7500 0.7500 0.8772
Ca1 0.2500 0.2501 0.6243
Ca2 0.7500 0.7499 0.3757
```



Below is a geometry-optimized CaBeZn3 structure, with properties calculated at the PBE level.

Output
DFT formation energy = -0.03 eV/atom
SG = No. 221

The structure in CIF format:
```
data_CaBeZn3
_chemical_formula_sum 'Ca1 Be1 Zn3'
_space_group_name_H-M_alt 'P 1'
_space_group_IT_number 1
_cell_length_a 4.4618
_cell_length_b 4.4618
_cell_length_c 4.4618
_cell_angle_alpha 90.00
_cell_angle_beta 90.00
_cell_angle_gamma 90.00
loop_
_space_group_symop_operation_xyz
'x,y,z'
loop_
_atom_site_label
_atom_site_fract_x
_atom_site_fract_y
_atom_site_fract_z
Be1 0.0000 0.0000 0.0000
Zn1 0.0000 0.5000 0.0000
Zn2 0.0000 0.0000 0.5000
Zn3 0.5000 0.0000 0.0000
Ca1 0.5000 0.5000 0.5000
```



Below is a geometry-optimized Li7AlCd4 structure, with properties calculated at the PBE level.

Output
DFT formation energy = -0.08 eV/atom
SG = No. 12

The structure in CIF format:
```
data_Li7AlCd4
_chemical_formula_sum 'Li7 Al1 Cd4'
_space_group_name_H-M_alt 'P 1'
_space_group_IT_number 1
_cell_length_a 4.9291
_cell_length_b 7.8336
_cell_length_c 7.3117
_cell_angle_alpha 60.99
_cell_angle_beta 70.30
_cell_angle_gamma 71.66
loop_
_space_group_symop_operation_xyz
'x,y,z'
loop_
_atom_site_label
_atom_site_fract_x
_atom_site_fract_y
_atom_site_fract_z
Li1 0.7991 0.8634 0.5383
Li2 0.2009 0.1366 0.4617
Li3 0.0771 0.5803 0.2654
Li4 0.9229 0.4197 0.7346
Li5 0.2185 0.7660 0.7970
Li6 0.5000 0.0000 0.0000
Li7 0.7815 0.2340 0.2030
Al1 0.0000 0.0000 0.0000
Cd1 0.5718 0.2779 0.5785
Cd2 0.4282 0.7221 0.4215
Cd3 0.6743 0.6320 0.0193
Cd4 0.3257 0.3680 0.9807
```



no.,raw total energy (eV per atom),theoretical density (Mg/m³),V (Å³ per cell)
1,-6.123,3.772,169.1
2,-1.936,4.586,88.8
3,-1.816,3.817,228.5